# HoTlCr2O6, relaxed, DFT GGA+U
data_HoTlCr2O6
_chemical_formula_sum 'Ho1 Tl1 Cr2 O6'
_space_group_name_H-M_alt 'P 1'
_space_group_IT_number 1
_cell_length_a 5.3998
_cell_length_b 5.4929
_cell_length_c 5.4956
_cell_angle_alpha 119.88
_cell_angle_beta 119.36
_cell_angle_gamma 90.12
loop_
_space_group_symop_operation_xyz
'x,y,z'
loop_
_atom_site_label
_atom_site_type_symbol
_atom_site_fract_x
_atom_site_fract_y
_atom_site_fract_z
Ho1 Ho 0.0000 0.0000 0.0000
Tl1 Tl 0.4511 0.5016 0.0000
Cr1 Cr 0.2254 0.7637 0.5073
Cr2 Cr 0.7180 0.2566 0.4926
O1 O 0.0346 0.0762 0.6374
O2 O 0.0370 0.5782 0.6349
O3 O 0.3956 0.4373 0.3626
O4 O 0.4035 0.9415 0.3646
O5 O 0.5937 0.0199 0.9999
O6 O 0.8513 0.5284 0.0000
# Raw total energy   -7.18 eV/atom
# M_tot   6.0 Bohr magnetons per cell